MgBe2Cd2 after structural relaxation, computed with PBE.

DFT total energy in eV per atom: -1.76
Density of states at the Fermi level in states/eV/atom: 0.41
Space group: P4/mbm
Energy of formation in eV/atom: 0.42
Size of the total moment in μB/atom: 0.000

Structure (POSCAR):
```
MgBe2Cd2
1.0
7.691 0.000 0.000
0.000 7.691 0.000
0.000 0.000 2.820
Mg Be Cd
2 4 4
Direct
0.000 0.000 0.000
0.500 0.500 0.000
0.169 0.331 0.500
0.331 0.831 0.500
0.669 0.169 0.500
0.831 0.669 0.500
0.134 0.634 0.000
0.366 0.134 0.000
0.634 0.866 0.000
0.866 0.366 0.000
```



MgBeCd2 after structural relaxation, computed with PBE.

DFT total energy in eV per atom: -1.55
Density of states at the Fermi level in states/eV/atom: 0.32
Space group: P2/m
Energy of formation in eV/atom: 0.23
Size of the total moment in μB/atom: 0.000

Structure (POSCAR):
```
MgBeCd2
1.0
3.211 0.000 0.000
0.000 4.323 0.000
-1.342 0.000 5.400
Mg Be Cd
1 1 2
Direct
0.000 0.000 0.000
0.000 0.000 0.500
0.349 0.500 0.730
0.651 0.500 0.270
```



MgBeCd2 after structural relaxation, computed with PBE.

DFT total energy in eV per atom: -1.48
Density of states at the Fermi level in states/eV/atom: 0.33
Space group: F-43m
Energy of formation in eV/atom: 0.31
Size of the total moment in μB/atom: 0.000

Structure (POSCAR):
```
MgBeCd2
1.0
6.671 0.000 0.000
0.000 6.671 0.000
0.000 0.000 6.671
Mg Be Cd
4 4 8
Direct
0.000 0.000 0.000
0.000 0.500 0.500
0.500 0.000 0.500
0.500 0.500 0.000
0.250 0.250 0.750
0.250 0.750 0.250
0.750 0.250 0.250
0.750 0.750 0.750
0.000 0.000 0.500
0.000 0.500 0.000
0.250 0.250 0.250
0.250 0.750 0.750
0.500 0.000 0.000
0.500 0.500 0.500
0.750 0.250 0.750
0.750 0.750 0.250
```



MgBeCd2 after structural relaxation, computed with PBE.

DFT total energy in eV per atom: -1.58
Density of states at the Fermi level in states/eV/atom: 0.10
Space group: P4/mmm
Energy of formation in eV/atom: 0.20
Size of the total moment in μB/atom: 0.000

Structure (POSCAR):
```
MgBeCd2
1.0
3.061 0.000 0.000
0.000 3.061 0.000
0.000 0.000 7.736
Mg Be Cd
1 1 2
Direct
0.000 0.000 0.000
0.000 0.000 0.500
0.500 0.500 0.289
0.500 0.500 0.711
```



> Number 3 is which compound?

MgBeCd2



> Which value of energy of formation does entry 3 give?

0.31 eV/atom